8
Lattice="6.6545 0.0000 0.0000 0.0000 3.8468 0.0000 -2.1836 0.0000 6.4458" Properties=species:S:1:pos:R:3 comment="LiMgSc2Se4, relaxed, DFT PBE" dos_ef_per_ev_cell=3.24 spacegroup=P2/m dft_energy_ev_per_atom=-5.263 volume_a3_per_atom=20.63 pbc="T T T"
Li 0.0000 0.0000 0.0000
Mg 3.3273 1.9234 0.0000
Sc -1.0918 1.9234 3.2229
Sc 2.2355 0.0000 3.2229
Se 0.0258 0.0000 4.8486
Se 1.1323 1.9234 1.6178
Se 3.3387 1.9234 4.8280
Se 4.4451 0.0000 1.5972